Below is an optimized crystal structure of MnNbTc3, with properties calculated at the PBE-GGA level.

abc: 4.382 4.382 4.382
angles: 90.00 90.00 90.00
Fractional coordinates of all 5 atoms:
1 Nb 0.500 0.500 0.500
2 Mn 0.000 0.000 0.000
3 Tc 0.000 0.500 0.000
4 Tc 0.000 0.000 0.500
5 Tc 0.500 0.000 0.000

## Properties
SG = Pm-3m, No. 221
total DFT energy (no corrections) = -45.6 eV/f.u.
size of the total moment = 0.0 Bohr magnetons per cell


Below is an optimized crystal structure of Mn2NbTc2, with properties calculated at the PBE-GGA level.

abc: 7.287 7.287 2.659
angles: 90.00 90.00 90.00
Fractional coordinates of all 10 atoms:
1 Nb 0.000 0.000 0.000
2 Nb 0.500 0.500 0.000
3 Mn 0.171 0.671 0.500
4 Mn 0.671 0.829 0.500
5 Mn 0.829 0.329 0.500
6 Mn 0.329 0.171 0.500
7 Tc 0.372 0.872 0.000
8 Tc 0.872 0.628 0.000
9 Tc 0.628 0.128 0.000
10 Tc 0.128 0.372 0.000

## Properties
SG = P4/mbm, No. 127
total DFT energy (no corrections) = -48.4 eV/f.u.
size of the total moment = 0.0 Bohr magnetons per cell


Below is an optimized crystal structure of MnNb6Tc, with properties calculated at the PBE-GGA level.

abc: 4.544 4.544 7.286
angles: 71.83 71.83 90.00
Fractional coordinates of all 8 atoms:
1 Mn 0.500 0.500 0.000
2 Nb 0.749 0.749 0.502
3 Nb 0.619 0.119 0.762
4 Nb 0.119 0.619 0.762
5 Nb 0.381 0.881 0.238
6 Nb 0.251 0.251 0.498
7 Nb 0.881 0.381 0.238
8 Tc 0.000 0.000 0.000

## Properties
SG = I4/mmm, No. 139
total DFT energy (no corrections) = -80.9 eV/f.u.
size of the total moment = 0.0 Bohr magnetons per cell


Below is an optimized crystal structure of Mn4NbTc, with properties calculated at the PBE-GGA level.

abc: 4.745 4.745 4.745
angles: 60.00 60.00 60.00
Fractional coordinates of all 6 atoms:
1 Nb 0.250 0.250 0.250
2 Mn 0.623 0.623 0.130
3 Mn 0.623 0.130 0.623
4 Mn 0.623 0.623 0.623
5 Mn 0.130 0.623 0.623
6 Tc 0.000 0.000 0.000

## Properties
SG = F-43m, No. 216
total DFT energy (no corrections) = -57.7 eV/f.u.
size of the total moment = 0.0 Bohr magnetons per cell


Below is an optimized crystal structure of Mn2Nb2Tc, with properties calculated at the PBE-GGA level.

abc: 6.709 6.709 3.314
angles: 90.00 90.00 90.00
Fractional coordinates of all 10 atoms:
1 Nb 0.193 0.693 0.500
2 Nb 0.693 0.807 0.500
3 Nb 0.807 0.307 0.500
4 Nb 0.307 0.193 0.500
5 Mn 0.392 0.892 0.000
6 Mn 0.892 0.608 0.000
7 Mn 0.608 0.108 0.000
8 Mn 0.108 0.392 0.000
9 Tc 0.000 0.000 0.000
10 Tc 0.500 0.500 0.000

## Properties
SG = P4/mbm, No. 127
total DFT energy (no corrections) = -48.2 eV/f.u.
size of the total moment = 2.0 Bohr magnetons per cell


Below is an optimized crystal structure of Mn2NbTc2, with properties calculated at the PBE-GGA level.

abc: 7.069 7.069 2.793
angles: 90.00 90.00 90.00
Fractional coordinates of all 10 atoms:
1 Nb 0.000 0.000 0.000
2 Nb 0.500 0.500 0.000
3 Mn 0.369 0.869 0.000
4 Mn 0.869 0.631 0.000
5 Mn 0.631 0.131 0.000
6 Mn 0.131 0.369 0.000
7 Tc 0.166 0.666 0.500
8 Tc 0.666 0.834 0.500
9 Tc 0.834 0.334 0.500
10 Tc 0.334 0.166 0.500

## Properties
SG = P4/mbm, No. 127
total DFT energy (no corrections) = -48.7 eV/f.u.
size of the total moment = 0.0 Bohr magnetons per cell


Copy entry 2 word for word.
Below is an optimized crystal structure of Mn2NbTc2, with properties calculated at the PBE-GGA level.

abc: 7.287 7.287 2.659
angles: 90.00 90.00 90.00
Fractional coordinates of all 10 atoms:
1 Nb 0.000 0.000 0.000
2 Nb 0.500 0.500 0.000
3 Mn 0.171 0.671 0.500
4 Mn 0.671 0.829 0.500
5 Mn 0.829 0.329 0.500
6 Mn 0.329 0.171 0.500
7 Tc 0.372 0.872 0.000
8 Tc 0.872 0.628 0.000
9 Tc 0.628 0.128 0.000
10 Tc 0.128 0.372 0.000

## Properties
SG = P4/mbm, No. 127
total DFT energy (no corrections) = -48.4 eV/f.u.
size of the total moment = 0.0 Bohr magnetons per cell


Question: The highest size of the total moment belongs to which entry?
Answer: Mn2Nb2Tc